This record from Alexandria describes a relaxed structure of CaLa2Sm3As6. The functional is GGA-PBE.

Results
Energy of formation = -1431.1 meV/atom
Symmetry = C2/m (12)
Crystal system = monoclinic

```
CaLa2Sm3As6
1.0
9.349 -2.139 0.000
9.349 2.139 0.000
-2.028 0.000 8.327
Ca La Sm As
1 2 3 6
Direct
0.000 0.000 0.000
0.335 0.335 0.671
0.665 0.665 0.329
0.000 0.000 0.500
0.334 0.334 0.166
0.666 0.666 0.834
0.165 0.165 0.587
0.168 0.168 0.078
0.498 0.498 0.255
0.502 0.502 0.745
0.832 0.832 0.922
0.835 0.835 0.413
```